# IrPt2, PBEsol geometry, DFT SCAN
data_IrPt2
_chemical_formula_sum 'Ir2 Pt4'
_cell_length_a 2.7559
_cell_length_b 2.7559
_cell_length_c 11.6050
_cell_angle_alpha 90.00
_cell_angle_beta 90.00
_cell_angle_gamma 90.00
_space_group_name_H-M_alt 'I 4/m m m'
_space_group_IT_number 139
_space_group_name_Hall '-I 4 2'
loop_
_atom_site_label
_atom_site_fract_x
_atom_site_fract_y
_atom_site_fract_z
Ir1 0.0000 0.0000 0.0000
Pt1 0.0000 0.0000 0.3365
# excess energy over the best structure of this formula in the dataset: 23 meV/atom
# E_form: 0.11 eV/atom

# MgAgPb2, PBEsol geometry, DFT SCAN
data_MgAgPb2
_chemical_formula_sum 'Mg1 Ag1 Pb2'
_cell_length_a 3.3677
_cell_length_b 3.3677
_cell_length_c 8.4720
_cell_angle_alpha 90.00
_cell_angle_beta 90.00
_cell_angle_gamma 90.00
_space_group_name_H-M_alt 'P 4 m m'
_space_group_IT_number 99
_space_group_name_Hall 'P 4 -2'
loop_
_atom_site_label
_atom_site_fract_x
_atom_site_fract_y
_atom_site_fract_z
Mg1 0.0000 0.0000 0.0000
Ag1 0.5000 0.5000 0.8205
Pb1 0.0000 0.0000 0.5869
Pb2 0.5000 0.5000 0.2595
# E_form: -0.09 eV/atom

# AlTlPt2, PBEsol geometry, DFT SCAN
data_AlTlPt2
_chemical_formula_sum 'Al1 Tl1 Pt2'
_cell_length_a 3.0507
_cell_length_b 3.0507
_cell_length_c 7.1573
_cell_angle_alpha 90.00
_cell_angle_beta 90.00
_cell_angle_gamma 90.00
_space_group_name_H-M_alt 'P 4/m m m'
_space_group_IT_number 123
_space_group_name_Hall '-P 4 2'
loop_
_atom_site_label
_atom_site_fract_x
_atom_site_fract_y
_atom_site_fract_z
Al1 0.0000 0.0000 0.0000
Tl1 0.0000 0.0000 0.5000
Pt1 0.5000 0.5000 0.2009
# excess energy over the best structure of this formula in the dataset: 0 meV/atom
# E_form: -0.56 eV/atom

# TiBi6P2O16, PBEsol geometry, DFT SCAN
data_TiBi6P2O16
_chemical_formula_sum 'Ti2 Bi12 P4 O32'
_cell_length_a 15.2522
_cell_length_b 5.3696
_cell_length_c 11.2439
_cell_angle_alpha 90.00
_cell_angle_beta 132.49
_cell_angle_gamma 90.00
_space_group_name_H-M_alt 'C 1 2 1'
_space_group_IT_number 5
_space_group_name_Hall 'C 2y'
loop_
_atom_site_label
_atom_site_fract_x
_atom_site_fract_y
_atom_site_fract_z
Ti1 0.0000 0.0000 0.0000
Bi1 0.0100 0.0208 0.3459
Bi2 0.1676 0.5196 0.6763
Bi3 0.1777 0.5566 0.0172
P1 0.1286 0.4871 0.2725
O1 0.0000 0.2636 0.5000
O2 0.0000 0.7735 0.5000
O3 0.0487 0.7154 0.1664
O4 0.0579 0.2493 0.1635
O5 0.1377 0.4642 0.4155
O6 0.1456 0.9517 0.0599
O7 0.1483 0.2625 0.8207
O8 0.1531 0.7675 0.8250
O9 0.2479 0.4994 0.3133
# uncorrected formation energy: -1.88 eV/atom

| no. | DFT total energy (eV per atom) |
| --- | --- |
| 1 | -70.38 |
| 2 | -47.06 |
| 3 | -55.69 |
| 4 | -26.20 |